Below is a relaxed NdNiC2O6 crystal, with properties calculated at the GGA+U level.

Structure (extended XYZ):
```
10
Lattice="4.9031 0.0000 0.0000 2.4515 4.2462 0.0000 2.4515 1.4154 5.4649" Properties=species:S:1:pos:R:3 pbc="T T T"
Nd 0.0000 0.0000 0.0000
Ni 4.9031 2.8308 2.7324
C 7.3546 4.2462 3.9592
C 2.4515 1.4154 1.5057
O 3.2469 3.2016 4.0258
O 5.4101 1.2111 4.0258
O 3.7539 1.5819 1.4391
O 6.5592 2.4600 1.4391
O 4.3961 4.4505 1.4391
O 6.0523 4.0797 4.0258
```

Properties
**Crystal system**: trigonal
**Space group**: R-3 (148)
**Total moment**: 0.1002 μB per atom
**DFT total energy**: -72.01 eV/cell